Model A:
# LiCdHg4

LiCdHg4 after structural relaxation (PBE-GGA, Alexandria).

Geometry as POSCAR:
```
LiCdHg4
1.0
-1.436 -6.474 -2.090
4.709 -1.594 4.688
-5.908 3.639 2.858
Li Cd Hg
2 2 8
Direct
0.295 0.045 0.090
0.705 0.955 0.910
0.422 0.672 0.343
0.578 0.328 0.657
0.024 0.248 0.864
0.880 0.692 0.654
0.340 0.616 0.864
0.274 0.962 0.654
0.726 0.038 0.346
0.660 0.384 0.136
0.120 0.308 0.346
0.976 0.752 0.136
```

- DOS at the Fermi energy: 0.237 states/eV per atom

=====

Model B:
# LiCdHg4

LiCdHg4 after structural relaxation (PBE-GGA, Alexandria).

Geometry as POSCAR:
```
LiCdHg4
1.0
-5.807 -1.716 0.219
-3.981 3.190 3.269
-4.244 3.310 -2.783
Li Cd Hg
1 1 4
Direct
0.750 0.750 0.750
0.000 0.000 0.000
0.874 0.375 0.375
0.375 0.375 0.874
0.375 0.874 0.375
0.375 0.375 0.375
```

- DOS at the Fermi energy: 0.595 states/eV per atom

=====

Model C:
# LiCdHg4

LiCdHg4 after structural relaxation (PBE-GGA, Alexandria).

Geometry as POSCAR:
```
LiCdHg4
1.0
3.247 0.000 0.939
2.005 6.986 -0.851
-0.230 -3.316 6.877
Li Cd Hg
1 1 4
Direct
0.000 0.000 0.000
0.500 0.500 0.500
0.753 0.597 0.898
0.281 0.065 0.372
0.247 0.403 0.102
0.719 0.935 0.628
```

- DOS at the Fermi energy: 0.367 states/eV per atom

=====

Stability check: which of them is most stable? model A.

=====

Model A:
# LiCdHg3

LiCdHg3 after structural relaxation (PBE-GGA, Alexandria).

Geometry as POSCAR:
```
LiCdHg3
1.0
-5.458 -1.515 1.520
2.274 -8.988 -0.825
3.187 -3.350 8.078
Li Cd Hg
4 4 12
Direct
0.951 0.730 0.770
0.549 0.230 0.270
0.049 0.270 0.230
0.451 0.770 0.730
0.250 0.816 0.184
0.750 0.184 0.816
0.250 0.316 0.684
0.750 0.684 0.316
0.682 0.830 0.966
0.818 0.034 0.170
0.318 0.170 0.034
0.182 0.966 0.830
0.749 0.469 0.028
0.751 0.972 0.531
0.251 0.531 0.972
0.249 0.028 0.469
0.681 0.534 0.670
0.819 0.330 0.466
0.319 0.466 0.330
0.181 0.670 0.534
```

- DOS at the Fermi energy: 0.267 states/eV per atom

=====

Model B:
# LiCdHg3

LiCdHg3 after structural relaxation (PBE-GGA, Alexandria).

Geometry as POSCAR:
```
LiCdHg3
1.0
5.150 0.000 0.000
0.000 5.150 0.000
0.000 0.000 5.150
Li Hg Cd
1 3 1
Direct
0.000 0.000 0.000
0.000 0.500 0.000
0.000 0.000 0.500
0.500 0.000 0.000
0.500 0.500 0.500
```

- DOS at the Fermi energy: 0.413 states/eV per atom

=====

Model C:
# LiCdHg3

LiCdHg3 after structural relaxation (PBE-GGA, Alexandria).

Geometry as POSCAR:
```
LiCdHg3
1.0
4.480 -0.620 1.419
0.589 4.707 0.193
-0.613 -0.341 10.219
Li Cd Hg
2 2 6
Direct
0.354 0.345 0.004
0.057 0.844 0.610
0.857 0.844 0.000
0.554 0.344 0.615
0.158 0.344 0.418
0.952 0.344 0.807
0.648 0.844 0.423
0.763 0.344 0.192
0.253 0.845 0.196
0.459 0.844 0.808
```

- DOS at the Fermi energy: 0.337 states/eV per atom

=====

Model D:
# LiCdHg3

LiCdHg3 after structural relaxation (PBE-GGA, Alexandria).

Geometry as POSCAR:
```
LiCdHg3
1.0
-5.102 1.244 1.918
-2.252 -3.541 -3.694
0.393 -4.144 3.732
Li Hg Cd
1 3 1
Direct
0.500 0.500 0.500
0.000 0.500 0.000
0.000 0.000 0.500
0.500 0.000 0.000
0.000 0.000 0.000
```

- DOS at the Fermi energy: 0.530 states/eV per atom

=====

Stability check: which of them is most stable? model C.

=====

Model A:
# Li6CdHg2

Li6CdHg2 after structural relaxation (PBE-GGA, Alexandria).

Geometry as POSCAR:
```
Li6CdHg2
1.0
5.185 0.000 -1.655
0.000 7.946 0.000
-3.704 -3.973 5.047
Li Cd Hg
6 1 2
Direct
0.163 0.500 0.332
0.837 0.168 0.668
0.837 0.500 0.668
0.500 0.169 0.000
0.163 0.832 0.332
0.500 0.831 0.000
0.000 0.000 0.000
0.670 0.669 0.339
0.330 0.331 0.661
```

- DOS at the Fermi energy: 0.419 states/eV per atom

=====

Model B:
# Li6CdHg2

Li6CdHg2 after structural relaxation (PBE-GGA, Alexandria).

Geometry as POSCAR:
```
Li6CdHg2
1.0
2.838 0.000 0.758
0.440 7.145 4.045
-0.665 0.436 8.184
Li Cd Hg
6 1 2
Direct
0.169 0.506 0.157
0.831 0.494 0.843
0.831 0.843 0.494
0.000 0.171 0.829
0.000 0.829 0.171
0.169 0.157 0.506
0.500 0.500 0.500
0.347 0.153 0.153
0.653 0.847 0.847
```

- DOS at the Fermi energy: 0.419 states/eV per atom

=====

Stability check: which of them is most stable? model A.

=====

Model A:
# Li7CdHg2

Li7CdHg2 after structural relaxation (PBE-GGA, Alexandria).

Geometry as POSCAR:
```
Li7CdHg2
1.0
-3.497 -1.153 2.789
4.331 -0.002 1.605
-1.027 9.849 2.782
Li Cd Hg
7 1 2
Direct
0.333 0.667 0.394
0.333 0.667 0.149
0.000 0.000 0.342
0.000 0.000 0.749
0.667 0.333 0.544
0.667 0.333 0.956
0.333 0.667 0.899
0.000 0.000 0.049
0.667 0.333 0.254
0.333 0.667 0.647
```

- DOS at the Fermi energy: 0.386 states/eV per atom

=====

Model B:
# Li7CdHg2

Li7CdHg2 after structural relaxation (PBE-GGA, Alexandria).

Geometry as POSCAR:
```
Li7CdHg2
1.0
4.040 0.000 0.000
0.000 8.273 -0.602
0.000 -4.190 7.159
Li Cd Hg
7 1 2
Direct
0.000 0.799 0.201
0.000 0.201 0.799
0.500 0.076 0.297
0.500 0.924 0.703
0.500 0.297 0.076
0.500 0.703 0.924
0.500 0.500 0.500
0.000 0.000 0.000
0.500 0.688 0.312
0.500 0.312 0.688
```

- DOS at the Fermi energy: 0.477 states/eV per atom

=====

Stability check: which of them is most stable? model A.

=====

Model A:
# LiCd4Hg7

LiCd4Hg7 after structural relaxation (PBE-GGA, Alexandria).

Geometry as POSCAR:
```
LiCd4Hg7
1.0
5.417 0.000 0.000
2.709 8.916 0.073
2.709 0.437 6.401
Li Cd Hg
1 4 7
Direct
0.000 0.000 0.000
0.573 0.224 0.629
0.427 0.776 0.371
0.729 0.672 0.870
0.271 0.328 0.130
0.793 0.903 0.512
0.207 0.097 0.488
0.078 0.686 0.158
0.922 0.314 0.842
0.359 0.552 0.730
0.500 0.000 0.000
0.641 0.448 0.270
```

- DOS at the Fermi energy: 0.276 states/eV per atom

=====

Model B:
# LiCd4Hg7

LiCd4Hg7 after structural relaxation (PBE-GGA, Alexandria).

Geometry as POSCAR:
```
LiCd4Hg7
1.0
5.528 0.619 2.802
3.162 5.667 4.107
2.952 0.425 11.379
Li Cd Hg
1 4 7
Direct
0.000 0.000 0.000
0.592 0.699 0.321
0.408 0.301 0.679
0.579 0.812 0.693
0.421 0.188 0.307
0.791 0.483 0.980
0.209 0.517 0.020
0.907 0.306 0.679
0.093 0.694 0.321
0.146 0.828 0.640
0.500 0.000 0.000
0.854 0.172 0.360
```

- DOS at the Fermi energy: 0.266 states/eV per atom

=====

Stability check: which of them is most stable? model B.

=====

Model A:
# LiCd2Hg4

LiCd2Hg4 after structural relaxation (PBE-GGA, Alexandria).

Geometry as POSCAR:
```
LiCd2Hg4
1.0
3.380 0.000 0.000
0.000 7.067 -3.090
0.000 -0.230 6.931
Li Cd Hg
1 2 4
Direct
0.000 0.929 0.000
0.500 0.675 0.599
0.500 0.183 0.401
0.500 0.098 0.789
0.000 0.463 0.798
0.500 0.759 0.211
0.000 0.394 0.202
```

- DOS at the Fermi energy: 0.275 states/eV per atom

=====

Model B:
# LiCd2Hg4

LiCd2Hg4 after structural relaxation (PBE-GGA, Alexandria).

Geometry as POSCAR:
```
LiCd2Hg4
1.0
5.233 0.000 0.000
0.000 5.233 0.000
2.617 2.617 7.241
Li Hg Cd
1 4 2
Direct
0.000 0.000 0.000
0.185 0.185 0.630
0.815 0.815 0.370
0.000 0.500 0.000
0.500 0.000 0.000
0.384 0.384 0.231
0.616 0.616 0.769
```

- DOS at the Fermi energy: 0.419 states/eV per atom

=====

Stability check: which of them is most stable? model A.

=====

Model A:
# Li4Cd3Hg4

Li4Cd3Hg4 after structural relaxation (PBE-GGA, Alexandria).

Geometry as POSCAR:
```
Li4Cd3Hg4
1.0
-3.750 0.236 -2.339
3.430 -2.619 -5.761
-1.578 -5.690 6.144
Li Cd Hg
4 3 4
Direct
0.325 0.112 0.650
0.675 0.463 0.350
0.675 0.888 0.350
0.325 0.537 0.650
0.137 0.137 0.275
0.863 0.863 0.725
0.000 0.500 0.000
0.207 0.707 0.414
0.793 0.293 0.586
0.500 0.797 0.000
0.500 0.203 0.000
```

- DOS at the Fermi energy: 0.318 states/eV per atom

=====

Model B:
# Li4Cd3Hg4

Li4Cd3Hg4 after structural relaxation (PBE-GGA, Alexandria).

Geometry as POSCAR:
```
Li4Cd3Hg4
1.0
-0.295 0.106 -3.291
-1.891 -7.840 -0.082
-7.123 5.840 2.487
Li Cd Hg
4 3 4
Direct
0.740 0.240 0.481
0.260 0.760 0.519
0.500 0.795 0.000
0.500 0.205 0.000
0.906 0.906 0.811
0.094 0.094 0.189
0.000 0.500 0.000
0.658 0.467 0.316
0.342 0.152 0.684
0.342 0.533 0.684
0.658 0.848 0.316
```

- DOS at the Fermi energy: 0.347 states/eV per atom

=====

Stability check: which of them is most stable? model B.

=====

Model A:
# Li2CdHg8

Li2CdHg8 after structural relaxation (PBE-GGA, Alexandria).

Geometry as POSCAR:
```
Li2CdHg8
1.0
-0.279 3.220 -3.048
4.667 -3.882 -4.529
-7.269 -3.897 -0.213
Li Cd Hg
2 1 8
Direct
0.777 0.339 0.555
0.223 0.661 0.445
0.500 0.000 0.000
0.390 0.518 0.779
0.680 0.928 0.360
0.850 0.772 0.700
0.957 0.270 0.914
0.150 0.228 0.300
0.320 0.072 0.640
0.610 0.482 0.221
0.043 0.730 0.086
```

- DOS at the Fermi energy: 0.268 states/eV per atom

=====

Model B:
# Li2CdHg8

Li2CdHg8 after structural relaxation (PBE-GGA, Alexandria).

Geometry as POSCAR:
```
Li2CdHg8
1.0
0.075 -4.569 -1.658
7.450 1.318 -1.322
-0.790 -1.975 7.380
Li Cd Hg
2 1 8
Direct
0.500 0.629 0.365
0.500 0.365 0.629
0.002 0.998 0.998
0.433 0.950 0.675
0.433 0.675 0.950
0.915 0.656 0.656
0.000 0.250 0.743
0.000 0.743 0.250
0.083 0.340 0.340
0.566 0.317 0.044
0.566 0.044 0.317
```

- DOS at the Fermi energy: 0.308 states/eV per atom

=====

Stability check: which of them is most stable? model A.